Record 1
! Pr4IrSeI2 | the Alexandria database | PBE-GGA | optimized geometry; values from VASP
&SYSTEM
  ibrav = 0, nat = 8, ntyp = 4
/
ATOMIC_SPECIES
Pr 140.91 Pr.upf
Ir 192.22 Ir.upf
Se 78.96 Se.upf
I 126.90 I.upf
CELL_PARAMETERS angstrom
7.765 0.000 0.000
0.000 4.217 0.000
-2.422 0.000 7.911
ATOMIC_POSITIONS crystal
Pr 0.205 0.000 0.189
Pr 0.256 0.500 0.805
Pr 0.744 0.500 0.195
Pr 0.795 0.000 0.811
Ir 0.000 0.500 0.000
Se 0.500 0.000 0.000
I 0.000 0.000 0.500
I 0.500 0.500 0.500
! E_tot: -5.48 eV/atom
! formation energy from raw total energies: -1.16 eV per atom
! space-group type: P2/m
! DOS(E_F): 0.653 states/eV/atom



Record 2
! Sr4LiPd4 | the Alexandria database | PBE-GGA | optimized geometry; values from VASP
&SYSTEM
  ibrav = 0, nat = 18, ntyp = 3
/
ATOMIC_SPECIES
Sr 87.62 Sr.upf
Li 6.94 Li.upf
Pd 106.42 Pd.upf
CELL_PARAMETERS angstrom
8.862 0.000 0.000
0.000 8.862 0.000
0.000 0.000 6.164
ATOMIC_POSITIONS crystal
Sr 0.035 0.687 0.108
Sr 0.187 0.965 0.608
Sr 0.313 0.535 0.608
Sr 0.465 0.813 0.108
Sr 0.535 0.187 0.892
Sr 0.687 0.465 0.392
Sr 0.813 0.035 0.392
Sr 0.965 0.313 0.892
Li 0.250 0.250 0.250
Li 0.750 0.750 0.750
Pd 0.015 0.362 0.398
Pd 0.138 0.015 0.102
Pd 0.362 0.485 0.102
Pd 0.485 0.138 0.398
Pd 0.515 0.862 0.602
Pd 0.638 0.515 0.898
Pd 0.862 0.985 0.898
Pd 0.985 0.638 0.602
! E_tot: -3.75 eV/atom
! space-group type: P4_2/n
! DOS(E_F): 0.306 states/eV/atom
! energy relative to the elements: -0.48 eV/atom



Record 3
! RbBa2I4 | the Alexandria database | PBE-GGA | optimized geometry; values from VASP
&SYSTEM
  ibrav = 0, nat = 14, ntyp = 3
/
ATOMIC_SPECIES
Rb 85.47 Rb.upf
Ba 137.33 Ba.upf
I 126.90 I.upf
CELL_PARAMETERS angstrom
2.434 -8.437 0.000
2.434 8.437 0.000
0.000 0.000 17.221
ATOMIC_POSITIONS crystal
Rb 0.116 0.884 0.750
Rb 0.884 0.116 0.250
Ba 0.370 0.630 0.565
Ba 0.370 0.630 0.935
Ba 0.630 0.370 0.065
Ba 0.630 0.370 0.435
I 0.000 0.000 0.000
I 0.000 0.000 0.500
I 0.275 0.725 0.118
I 0.275 0.725 0.382
I 0.453 0.547 0.750
I 0.547 0.453 0.250
I 0.725 0.275 0.618
I 0.725 0.275 0.882
! E_tot: -3.11 eV/atom
! formation energy from raw total energies: -1.54 eV per atom
! space-group type: Cmcm
! DOS(E_F): 0.322 states/eV/atom
! offset from the most stable computed form: 0.0 meV/atom



Record 4
! Np5Sb12Rh3 | the Alexandria database | PBE-GGA | optimized geometry; values from VASP
&SYSTEM
  ibrav = 0, nat = 80, ntyp = 3
/
ATOMIC_SPECIES
Np 237.00 Np.upf
Sb 121.76 Sb.upf
Rh 102.91 Rh.upf
CELL_PARAMETERS angstrom
-8.575 8.575 8.575
8.575 -8.575 8.575
8.575 8.575 -8.575
ATOMIC_POSITIONS crystal
Np 0.000 0.000 0.000
Np 0.000 0.000 0.500
Np 0.000 0.500 0.000
Np 0.000 0.500 0.500
Np 0.125 0.750 0.875
Np 0.125 0.875 0.250
Np 0.250 0.125 0.875
Np 0.250 0.625 0.375
Np 0.375 0.250 0.625
Np 0.375 0.625 0.750
Np 0.500 0.000 0.000
Np 0.500 0.000 0.500
Np 0.500 0.500 0.000
Np 0.500 0.500 0.500
Np 0.625 0.375 0.250
Np 0.625 0.750 0.375
Np 0.750 0.375 0.625
Np 0.750 0.875 0.125
Np 0.875 0.125 0.750
Np 0.875 0.250 0.125
Sb 0.049 0.629 0.377
Sb 0.049 0.921 0.672
Sb 0.079 0.252 0.129
Sb 0.079 0.328 0.951
Sb 0.123 0.752 0.672
Sb 0.123 0.871 0.451
Sb 0.129 0.079 0.252
Sb 0.129 0.549 0.877
Sb 0.172 0.252 0.623
Sb 0.172 0.421 0.549
Sb 0.248 0.328 0.877
Sb 0.248 0.421 0.371
Sb 0.252 0.129 0.079
Sb 0.252 0.623 0.172
Sb 0.328 0.877 0.248
Sb 0.328 0.951 0.079
Sb 0.371 0.248 0.421
Sb 0.371 0.623 0.951
Sb 0.377 0.049 0.629
Sb 0.377 0.828 0.748
Sb 0.421 0.371 0.248
Sb 0.421 0.549 0.172
Sb 0.451 0.123 0.871
Sb 0.451 0.828 0.579
Sb 0.549 0.172 0.421
Sb 0.549 0.877 0.129
Sb 0.579 0.451 0.828
Sb 0.579 0.629 0.752
Sb 0.623 0.172 0.252
Sb 0.623 0.951 0.371
Sb 0.629 0.377 0.049
Sb 0.629 0.752 0.579
Sb 0.672 0.049 0.921
Sb 0.672 0.123 0.752
Sb 0.748 0.377 0.828
Sb 0.748 0.871 0.921
Sb 0.752 0.579 0.629
Sb 0.752 0.672 0.123
Sb 0.828 0.579 0.451
Sb 0.828 0.748 0.377
Sb 0.871 0.451 0.123
Sb 0.871 0.921 0.748
Sb 0.877 0.129 0.549
Sb 0.877 0.248 0.328
Sb 0.921 0.672 0.049
Sb 0.921 0.748 0.871
Sb 0.951 0.079 0.328
Sb 0.951 0.371 0.623
Rh 0.125 0.250 0.375
Rh 0.125 0.375 0.750
Rh 0.250 0.375 0.125
Rh 0.250 0.875 0.625
Rh 0.375 0.125 0.250
Rh 0.375 0.750 0.125
Rh 0.625 0.250 0.875
Rh 0.625 0.875 0.750
Rh 0.750 0.125 0.375
Rh 0.750 0.625 0.875
Rh 0.875 0.625 0.250
Rh 0.875 0.750 0.625
! E_tot: -6.50 eV/atom
! formation energy from raw total energies: 0.31 eV per atom
! space-group type: Ia-3d
! DOS(E_F): 3.271 states/eV/atom